Entry 1:
VASP calculation (meta-GGA SCAN) on a PBEsol-optimized structure of FeAg2Mo. Values from VASP.

```
&SYSTEM
  ibrav = 0, nat = 4, ntyp = 3
/
ATOMIC_SPECIES
Fe 55.84 Fe.upf
Ag 107.87 Ag.upf
Mo 95.94 Mo.upf
CELL_PARAMETERS angstrom
0.000 3.122 3.122
3.122 0.000 3.122
3.122 3.122 0.000
ATOMIC_POSITIONS angstrom
Fe 0.000 0.000 0.000
Ag 1.561 1.561 1.561
Ag 4.683 4.683 4.683
Mo 3.122 3.122 3.122
```

Calculated total energy   -28.156 eV/atom
Energy above the lowest structure with this stoichiometry   20.37 kJ/mol of atoms
E_form   781 meV/atom

---

Entry 2:
VASP calculation (meta-GGA SCAN) on a PBEsol-optimized structure of AgPb2Cl. Values from VASP.

```
&SYSTEM
  ibrav = 0, nat = 4, ntyp = 3
/
ATOMIC_SPECIES
Ag 107.87 Ag.upf
Pb 207.20 Pb.upf
Cl 35.45 Cl.upf
CELL_PARAMETERS angstrom
-1.654 2.440 6.216
1.654 -2.440 6.216
1.654 2.440 -6.216
ATOMIC_POSITIONS angstrom
Ag 0.000 0.000 0.000
Pb 0.000 0.000 6.876
Pb 0.000 2.440 3.640
Cl 1.654 0.000 3.398
```

Calculated total energy   -47.919 eV/atom
ΔE_f (raw)   -0.1919 eV per atom

---

Entry 3:
VASP calculation (meta-GGA SCAN) on a PBEsol-optimized structure of SrLa2Ir. Values from VASP.

```
&SYSTEM
  ibrav = 0, nat = 4, ntyp = 3
/
ATOMIC_SPECIES
Sr 87.62 Sr.upf
La 138.91 La.upf
Ir 192.22 Ir.upf
CELL_PARAMETERS angstrom
5.015 0.000 0.000
0.000 5.015 0.000
0.000 0.000 4.258
ATOMIC_POSITIONS angstrom
Sr 0.000 0.000 0.000
La 0.000 2.507 2.129
La 2.507 0.000 2.129
Ir 2.507 2.507 0.000
```

Calculated total energy   -44.888 eV/atom
Energy above the lowest structure with this stoichiometry   54.72 kJ/mol of atoms
E_form   8 meV/atom